Entry 1:
DFT (GGA-PBEsol) results for a geometry-optimized CuAuO2 structure.

The formation energy without anion corrections comes out at -0.34 eV per atom. The value obtained for the volume is 11.6 Å³ per atom.

The structure belongs to space group R-3m (No. 166, hexagonal axes); the cell edges are 2.9795, 2.9795 and 18.0447 Å and the angles 90.00°, 90.00° and 120.00°. The inequivalent atoms are Cu at (0.0000, 0.0000, 0.0000), Au at (0.0000, 0.0000, 0.5000) and O at (0.0000, 0.0000, 0.3891).

***

Entry 2:
DFT (GGA-PBEsol) results for a geometry-optimized CuOs2Au structure.

The formation energy is 0.651 eV per atom. The calculation puts the polymorph energy (0 for the lowest one) at 156 kJ/mol of formula units. The value obtained for the volume is 14.2 Å³ per atom.

The structure belongs to space group P4/mmm (No. 123); the cell edges are 3.723, 3.723 and 4.086 Å and the angles 90.00°, 90.00° and 90.00°. The inequivalent atoms are Cu at (0.000, 0.000, 0.000), Os at (0.000, 0.500, 0.500) and Au at (0.500, 0.500, 0.000).

***

Entry 3:
DFT (GGA-PBEsol) results for a geometry-optimized CuOs2Au structure.

The formation energy is 0.247 eV per atom. The calculation puts the polymorph energy (0 for the lowest one) at 0 kJ/mol of formula units. The value obtained for the volume is 14.2 Å³ per atom.

The structure belongs to space group P4mm (No. 99); the cell edges are 2.768, 2.768 and 7.421 Å and the angles 90.00°, 90.00° and 90.00°. The inequivalent atoms are Cu at (0.000, 0.000, 0.000), Os at (0.000, 0.000, 0.469), Os at (0.500, 0.500, 0.244) and Au at (0.500, 0.500, 0.754).